Entry 1:
First-principles (PBE-GGA) data for a geometry-optimized Ta2NiHgGe structure, as listed in the Alexandria database.

Output
Formation energy   0.871 eV/atom
Electronic total energy   -0.442 Ry per atom

a b c (Å): 4.8114 4.8114 4.2639
angles (deg): 90.00 90.00 90.00
Space group P4/mmm (No. 123)
Unique sites:
Ta (0.0000, 0.5000, 0.0000) (multiplicity 2)
Ni (0.0000, 0.0000, 0.5000) (multiplicity 1)
Hg (0.5000, 0.5000, 0.5000) (multiplicity 1)
Ge (0.0000, 0.0000, 0.0000) (multiplicity 1)

---

Entry 2:
First-principles (PBE-GGA) data for a geometry-optimized NiHgGeTe2 structure, as listed in the Alexandria database.

Output
Energy relative to the elements, uncorrected   0.84 eV/atom
Electronic total energy   -0.188 Ry per atom

a b c (Å): 5.5000 5.5000 5.0704
angles (deg): 90.00 90.00 90.00
Space group P4/mmm (No. 123)
Unique sites:
Ni (0.0000, 0.0000, 0.0000) (multiplicity 1)
Hg (0.5000, 0.5000, 0.0000) (multiplicity 1)
Ge (0.5000, 0.5000, 0.5000) (multiplicity 1)
Te (0.0000, 0.5000, 0.5000) (multiplicity 2)

---

Entry 3:
First-principles (PBE-GGA) data for a geometry-optimized TlNiHg2Ge structure, as listed in the Alexandria database.

Output
Formation energy   1.205 eV/atom
Electronic total energy   -0.108 Ry per atom

a b c (Å): 5.5907 5.5907 5.4331
angles (deg): 90.00 90.00 90.00
Space group P4/mmm (No. 123)
Unique sites:
Tl (0.0000, 0.0000, 0.0000) (multiplicity 1)
Ni (0.5000, 0.5000, 0.5000) (multiplicity 1)
Hg (0.0000, 0.5000, 0.0000) (multiplicity 2)
Ge (0.0000, 0.0000, 0.5000) (multiplicity 1)